{
  "formula": "Cs2TlPPt",
  "functional": "PBE-GGA",
  "state": "relaxed",
  "cell": [[7.078, 0.000, 0.000], [0.000, 7.078, 0.000], [0.000, 0.000, 4.388]],
  "species": ["Cs", "Cs", "Tl", "P", "Pt"],
  "fractional_positions": [[0.000, 0.500, 0.000], [0.500, 0.000, 0.000], [0.000, 0.000, 0.500], [0.500, 0.500, 0.500], [0.500, 0.500, 0.000]],
  "polymorph_energy_kj_per_mol_atoms": 0.2,
  "magnetic_moment_mub_per_cell": 0.54
}